No. 1
First-principles (PBE) data for an optimized crystal structure of Ho4ThIn3, as listed in the Alexandria database.

Computed properties:
energy of formation: -0.35 eV/atom

```
8
Lattice="-3.5328 0.0127 0.4604 -0.1507 -3.3971 -1.0627 2.1147 -5.2147 16.3701" Properties=species:S:1:pos:R:3 pbc="T T T"
Ho 1.8199 -4.4877 14.0879
Ho 1.3109 -3.2326 10.1477
Ho 0.2948 -0.7270 2.2822
Ho 0.8038 -1.9821 6.2223
In -0.7844 -4.2996 7.8839
In -1.2931 -3.0450 3.9456
In -0.2756 -5.5541 11.8222
Th -1.8417 -1.6922 -0.3011
```


No. 2
First-principles (PBE) data for an optimized crystal structure of Tb2SmY6Sc3, as listed in the Alexandria database.

Computed properties:
energy of formation: 0.05 eV/atom

```
12
Lattice="-0.9900 -0.4686 -5.9824 -3.0422 -3.5700 3.8715 -6.8706 9.1490 1.4487" Properties=species:S:1:pos:R:3 pbc="T T T"
Y -4.8229 -0.6652 -1.2138
Y -2.4663 1.8704 -1.8023
Y -6.0798 5.7755 0.5516
Y -7.7520 4.2743 -2.1464
Y -8.4364 3.2399 1.1401
Y -3.1508 0.8360 1.4843
Tb -1.6741 -1.5025 -2.6975
Tb -2.3581 -2.5362 0.5866
Sm 0.0000 0.0000 0.0000
Sc -6.1354 1.5214 2.9535
Sc -5.4514 2.5552 -0.3311
Sc -4.7673 3.5890 -3.6157
```


No. 3
First-principles (PBE) data for an optimized crystal structure of PmPrDyCd, as listed in the Alexandria database.

Computed properties:
energy of formation: -0.15 eV/atom
ΔE to the lowest computed polymorph: 0.0 kJ per mole of atoms

```
4
Lattice="-3.4369 -1.3304 0.0853 1.2478 -3.1272 1.5011 -1.1559 3.5174 8.2886" Properties=species:S:1:pos:R:3 pbc="T T T"
Cd -0.6509 1.9806 4.6671
Pr -0.0887 0.2699 0.6359
Pm -2.0115 0.5615 7.3684
Dy -1.5010 -0.9920 3.7075
```


No. 4
First-principles (PBE) data for an optimized crystal structure of MnSi2SnGe, as listed in the Alexandria database.

Computed properties:
E_form (uncorrected): 1.43 eV/atom

```
5
Lattice="5.0596 0.0000 0.0000 0.0000 5.0596 0.0000 0.0000 0.0000 5.3450" Properties=species:S:1:pos:R:3 pbc="T T T"
Sn 0.0000 0.0000 0.0000
Ge 0.0000 0.0000 2.6725
Mn 2.5298 2.5298 2.6725
Si 2.5298 0.0000 0.0000
Si 0.0000 2.5298 0.0000
```